ZrNi2HPd (GGA-PBE, optimized geometry); magnetic moment = 0.00 μB/f.u.; VASP energy = -6.078 eV/atom; Fermi-level density of states = 2.80 states/eV/f.u.; energy above the most stable polymorph in this dataset = 0.0 meV/atom
1.0
3.842 0.000 0.000
0.000 3.842 0.000
0.000 0.000 4.105
Zr Ni H Pd
1 2 1 1
direct
0.000 0.000 0.000
0.000 0.500 0.500
0.500 0.000 0.500
0.000 0.000 0.500
0.500 0.500 0.000



ZrAl3Ni3 (GGA-PBE, optimized geometry); magnetic moment = 0.00 μB/f.u.; VASP energy = -5.830 eV/atom; Fermi-level density of states = 4.15 states/eV/f.u.; calculated formation energy = -0.527 eV per atom; energy above the most stable polymorph in this dataset = 0.0 meV/atom
1.0
5.835 0.000 0.000
0.000 4.018 0.000
-0.793 0.000 8.495
Zr Al Ni
2 6 6
direct
0.119 0.250 0.148
0.881 0.750 0.852
0.020 0.750 0.394
0.371 0.750 0.960
0.452 0.750 0.311
0.548 0.250 0.689
0.629 0.250 0.040
0.980 0.250 0.606
0.222 0.250 0.848
0.282 0.750 0.651
0.297 0.250 0.443
0.703 0.750 0.557
0.718 0.250 0.349
0.778 0.750 0.152



- Among the records above, which one has the lowest Fermi-level density of states?
  ZrNi2HPd



What did the first record say?
ZrNi2HPd (GGA-PBE, optimized geometry); magnetic moment = 0.00 μB/f.u.; VASP energy = -6.078 eV/atom; Fermi-level density of states = 2.80 states/eV/f.u.; energy above the most stable polymorph in this dataset = 0.0 meV/atom
1.0
3.842 0.000 0.000
0.000 3.842 0.000
0.000 0.000 4.105
Zr Ni H Pd
1 2 1 1
direct
0.000 0.000 0.000
0.000 0.500 0.500
0.500 0.000 0.500
0.000 0.000 0.500
0.500 0.500 0.000



- Number 2 is which compound?
  ZrAl3Ni3